Run a
Na3NpSe4, optimized geometry, DFT PBE; M_tot = 0.25 μB/atom; D(E_F) = 11.8 states/eV/cell
1.0
7.362 0.000 0.000
0.000 7.362 0.000
0.000 0.000 7.362
Na Np Se
3 1 4
Cartesian
0.000 0.000 3.681
0.000 3.681 0.000
3.681 0.000 0.000
0.000 0.000 0.000
1.516 1.516 1.516
1.516 5.846 5.846
5.846 1.516 5.846
5.846 5.846 1.516

Run b
Na3NpSe4, optimized geometry, DFT PBE; M_tot = 0.25 μB/atom; D(E_F) = 11.6 states/eV/cell
1.0
-3.837 -3.037 5.290
7.085 -1.862 0.632
1.350 6.792 4.877
Np Na Se
2 6 8
Cartesian
-1.705 3.623 8.205
-0.782 0.132 1.963
-2.365 0.304 5.822
-0.123 3.451 4.346
1.493 0.959 7.277
0.838 -2.337 4.910
3.105 0.933 3.523
3.760 4.230 5.890
-1.185 0.987 8.469
0.833 4.131 7.145
0.337 0.509 4.390
1.691 0.317 0.670
2.906 1.576 10.130
4.261 1.383 6.410
3.765 -2.239 3.655
5.783 0.905 2.331

Most stable of them? run b.

Run a
Na2Np2Te5, optimized geometry, DFT PBE; M_tot = 0.85 μB/atom; D(E_F) = 19.2 states/eV/cell
1.0
-6.064 0.338 -4.136
-0.140 -4.349 -0.146
-1.928 1.920 9.509
Na Np Te
2 2 5
Cartesian
-5.406 -2.045 1.233
-2.727 -0.046 3.994
-4.429 -1.931 -3.046
-1.776 -2.080 -1.237
0.000 0.000 0.000
-4.095 -2.243 5.822
-6.614 0.108 3.179
-4.038 0.152 -0.595
-1.518 -2.199 2.048

Run b
Na2Np2Te5, optimized geometry, DFT PBE; M_tot = 0.68 μB/atom; D(E_F) = 39.1 states/eV/cell
1.0
-4.220 6.011 3.915
-7.080 -2.964 -3.079
2.734 -3.268 7.964
Na Np Te
4 4 10
Cartesian
-0.326 -1.920 2.597
-5.975 -0.397 3.016
-4.020 -4.312 2.288
-2.590 0.176 5.785
-8.765 1.395 -0.067
-2.535 1.652 0.903
-5.241 -1.019 -1.410
-6.059 4.065 2.246
0.000 0.000 0.000
-5.650 1.523 0.418
-8.406 1.970 2.954
-3.303 -1.338 1.148
-7.686 -1.618 0.392
-4.022 2.250 3.711
-0.159 -2.191 5.847
-5.262 1.116 7.652
-0.878 1.397 8.409
-4.543 -2.471 5.090

Most stable of them? run b.

Run a
NaO4, optimized geometry, DFT PBE; M_tot = 1.40 μB/atom; D(E_F) = 5.9 states/eV/cell
1.0
-1.687 -1.600 3.757
3.989 -1.513 1.147
0.871 3.830 2.022
Na O
1 4
Cartesian
1.587 0.358 3.463
0.000 0.000 0.000
-0.408 1.115 2.889
2.430 1.158 1.584
1.151 -1.556 2.452

Run b
NaO4, optimized geometry, DFT PBE; M_tot = 0.60 μB/atom; D(E_F) = 4.2 states/eV/cell
1.0
-3.680 0.330 4.688
2.026 -3.058 1.806
3.632 3.956 2.573
Na O
2 8
Cartesian
0.000 0.000 0.000
-0.024 2.143 3.630
0.753 0.056 2.415
-0.521 -0.812 5.275
1.225 1.172 6.650
2.500 2.040 3.790
0.589 2.129 6.085
3.135 1.083 4.358
1.390 -0.901 2.981
-1.157 0.145 4.708

Most stable of them? run b.

Run a
NaO2, optimized geometry, DFT PBE; M_tot = 0.33 μB/atom; D(E_F) = 17.0 states/eV/cell
1.0
-0.999 -4.605 -2.881
5.191 -1.671 0.871
-1.598 -2.551 4.631
Na O
4 8
Cartesian
1.797 -2.111 2.751
2.096 -3.138 -1.005
-1.298 -3.578 0.875
0.000 0.000 0.000
-1.546 -4.465 3.128
4.067 -2.974 2.593
1.187 -5.176 -1.976
1.481 -5.038 1.496
1.114 -3.788 1.125
1.408 -3.650 4.596
-1.473 -5.853 0.028
4.140 -4.362 -0.507

Run b
NaO2, optimized geometry, DFT PBE; M_tot = 0.33 μB/atom; D(E_F) = 16.9 states/eV/cell
1.0
-0.939 -4.505 3.836
7.133 0.874 2.773
-2.504 4.735 4.948
Na O
8 16
Cartesian
2.549 -2.350 4.882
4.708 3.890 8.062
-1.173 0.650 2.814
1.297 0.018 7.356
1.141 3.454 6.675
-1.017 -2.787 3.495
4.864 0.454 8.742
2.393 1.086 4.201
3.233 -0.308 5.960
4.323 3.281 5.763
0.463 -1.109 2.639
-0.638 0.343 8.752
0.457 1.411 5.597
-0.632 -2.177 5.793
3.227 2.212 8.918
4.329 0.761 2.805
1.710 -0.956 3.123
-1.885 0.190 8.267
4.480 -0.155 6.444
3.076 3.129 5.279
1.981 2.060 8.434
5.575 0.914 3.290
-0.789 1.259 5.112
0.614 -2.025 6.278

Most stable of them? run b.

Run a
Na4O, optimized geometry, DFT PBE; M_tot = 0.00 μB/atom; D(E_F) = 2.5 states/eV/cell
1.0
-6.610 -0.269 -1.770
0.863 -1.258 6.676
2.351 6.292 -1.344
Na O
8 2
Cartesian
-2.603 3.734 0.492
-3.049 0.431 4.997
-3.463 4.793 -2.434
-0.920 1.196 -0.574
-0.539 1.105 2.871
0.756 3.132 5.019
0.653 4.386 1.481
-3.432 0.542 1.556
-1.366 -0.363 1.166
-1.196 1.772 5.059

Run b
Na4O, optimized geometry, DFT PBE; M_tot = 0.00 μB/atom; D(E_F) = 1.3 states/eV/cell
1.0
-4.550 -1.217 -1.214
0.895 -4.610 1.267
-1.467 0.962 4.536
Na O
4 1
Cartesian
0.000 0.000 0.000
-3.009 -0.128 1.661
-0.286 -1.824 2.902
-1.827 -2.913 0.027
-2.561 -2.432 2.295

Most stable of them? run a.

Run a
NaOsO4, optimized geometry, DFT PBE; M_tot = 0.17 μB/atom; D(E_F) = 13.1 states/eV/cell
1.0
-6.797 -2.425 4.752
-0.935 -2.269 -6.412
3.433 -6.261 1.715
Na Os O
4 4 16
Cartesian
-0.507 -7.042 2.235
0.804 -2.899 -0.985
-5.103 -8.057 1.040
-3.792 -3.914 -2.180
-3.047 -7.742 4.430
-3.526 -4.491 1.534
-0.774 -6.464 -1.480
-1.252 -3.213 -4.376
-2.326 -9.451 -1.685
-4.107 -6.520 5.141
-3.781 -3.792 3.135
-1.891 -5.135 1.509
-3.110 -7.858 2.670
-6.892 -3.066 3.351
-3.747 -3.374 0.183
-4.839 -5.675 1.409
0.540 -5.280 -1.355
-0.552 -7.581 -0.129
2.593 -7.889 -3.296
-1.189 -3.097 -2.615
-2.408 -5.821 -1.455
-0.518 -7.163 -3.081
-0.192 -4.435 -5.086
-1.973 -1.504 1.740

Run b
NaOsO4, optimized geometry, DFT PBE; M_tot = 0.16 μB/atom; D(E_F) = 5.7 states/eV/cell
1.0
-2.205 -4.903 -0.028
2.930 -1.344 4.300
-4.819 5.106 1.520
Na Os O
2 2 8
Cartesian
-0.200 -1.402 3.057
-3.894 0.262 2.735
-1.326 2.041 4.899
-2.768 -3.181 0.893
-1.711 -4.518 1.364
0.458 -3.789 3.612
-1.605 0.761 3.711
-2.489 -1.902 2.081
-2.194 1.043 0.843
-4.551 2.649 2.179
-1.900 -2.184 4.949
-2.383 3.378 4.428

Most stable of them? run b.

Run a
NaOs2O8, optimized geometry, DFT PBE; M_tot = 0.10 μB/atom; D(E_F) = 7.6 states/eV/cell
1.0
6.280 0.000 0.000
-3.140 5.438 0.000
0.000 0.000 6.713
Na Os O
1 2 8
Cartesian
0.000 0.000 3.357
0.000 3.626 5.272
3.140 1.813 1.441
3.140 1.813 6.415
0.000 3.626 0.298
1.717 0.991 2.024
1.423 4.447 4.689
-1.423 4.447 4.689
4.562 0.991 2.024
3.140 3.455 2.024
0.000 1.983 4.689

Run b
NaOs2O8, optimized geometry, DFT PBE; M_tot = 0.12 μB/atom; D(E_F) = 7.2 states/eV/cell
1.0
4.724 0.000 0.000
0.000 4.724 0.000
0.000 0.000 5.987
Na Os O
1 2 8
Cartesian
2.362 2.362 2.994
2.362 0.000 0.000
0.000 2.362 0.000
3.541 3.541 1.144
3.541 1.183 4.843
3.541 3.541 4.843
3.541 1.183 1.144
1.183 3.541 1.144
1.183 3.541 4.843
1.183 1.183 1.144
1.183 1.183 4.843

Most stable of them? run a.

Run a
NaOs3O, optimized geometry, DFT PBE; M_tot = 0.00 μB/atom; D(E_F) = 6.2 states/eV/cell
1.0
-3.815 0.479 1.519
-1.536 -2.149 -3.180
0.421 -3.499 2.161
Na Os O
1 3 1
Cartesian
-2.465 -2.584 0.250
-0.768 -1.075 -1.590
0.210 -1.750 1.081
-1.908 0.240 0.760
0.000 0.000 0.000

Run b
NaOs3O, optimized geometry, DFT PBE; M_tot = 1.44 μB/atom; D(E_F) = 6.2 states/eV/cell
1.0
-3.809 -0.799 -2.368
-2.132 -1.214 3.839
-1.305 4.318 0.641
Na Os O
1 3 1
Cartesian
0.000 0.000 0.000
-1.066 -0.607 1.919
-0.652 2.159 0.321
-1.904 -0.400 -1.184
-3.623 1.152 1.056

Most stable of them? run a.

Run a
Na3OsO6, optimized geometry, DFT PBE; M_tot = 0.11 μB/atom; D(E_F) = 17.9 states/eV/cell
1.0
6.604 0.176 -0.190
-0.201 6.603 -0.190
0.166 0.176 6.604
Na Os O
6 2 12
Cartesian
2.948 0.671 4.858
0.384 5.040 2.682
4.878 2.982 0.239
6.184 1.914 3.541
1.690 3.972 5.984
3.620 6.283 1.365
3.284 3.477 3.112
0.000 0.000 0.000
6.061 4.991 0.027
4.963 0.638 6.051
0.277 6.336 4.630
2.824 3.764 1.328
3.674 1.690 2.749
1.520 3.034 3.520
0.507 1.963 6.196
1.605 6.316 0.173
6.291 0.618 1.594
3.744 3.190 4.896
2.895 5.264 3.475
5.049 3.920 2.703

Run b
Na3OsO6, optimized geometry, DFT PBE; M_tot = 0.10 μB/atom; D(E_F) = 9.8 states/eV/cell
1.0
-1.673 -1.434 -5.315
0.738 -4.085 3.983
-9.357 0.935 2.693
Na Os O
6 2 12
Cartesian
-4.678 0.467 1.346
0.000 0.000 0.000
-1.558 -2.249 -2.017
-5.432 -2.665 2.429
-8.733 -2.335 3.379
-4.859 -1.919 -1.067
-7.887 -1.616 -0.196
-2.405 -2.967 1.557
-7.061 -3.205 -0.724
-6.404 -1.219 0.868
-1.150 -1.586 1.487
-3.605 -1.700 0.896
-7.074 -0.737 -1.628
-1.806 -3.573 -0.105
-3.008 -2.611 3.288
-8.767 -2.676 1.065
-1.136 -4.055 2.391
-9.364 -1.765 -1.327
-3.722 -4.280 1.386
-8.650 -0.096 0.574

Most stable of them? run a.

Run a
NaScOsO, optimized geometry, DFT PBE; M_tot = 0.00 μB/atom; D(E_F) = 4.9 states/eV/cell
1.0
-1.150 -0.473 -2.754
2.291 -1.702 0.993
-14.635 -14.670 8.628
Na Sc Os O
3 3 3 3
Cartesian
-12.277 -12.306 7.238
-6.255 -8.709 4.106
-2.524 -3.409 -0.019
-5.571 -5.585 3.285
0.451 -1.987 0.153
-10.453 -11.357 4.656
-9.055 -9.077 5.339
-3.033 -5.479 2.207
-13.937 -14.849 6.710
-1.442 -1.446 0.850
-10.054 -12.517 6.346
-6.323 -7.218 2.221

Run b
NaScOsO, optimized geometry, DFT PBE; M_tot = 0.00 μB/atom; D(E_F) = 1.6 states/eV/cell
1.0
3.012 0.000 0.000
-1.506 2.609 0.000
0.000 0.000 7.581
Na Sc Os O
1 1 1 1
Cartesian
1.506 0.870 3.800
1.506 0.870 0.901
0.000 1.739 6.335
0.000 0.000 2.058

Most stable of them? run a.